No. 1
Density functional theory data (PBE) for an optimized crystal structure of ZrCrTe2N.

Output
For the final energy, the calculation gives -32.9 eV/cell. The value obtained for the spin magnetization is 1.1 Bohr magnetons per cell.

Lattice parameters (Å, degrees): 5.365 5.365 3.576 90.00 90.00 90.00
Space group P4/mmm (No. 123)
Inequivalent atoms, fractional coordinates:
Zr 0.000 0.000 0.000 x1
Cr 0.500 0.500 0.500 x1
Te 0.000 0.500 0.500 x2
N 0.500 0.500 0.000 x1

---

No. 2
Density functional theory data (PBE) for an optimized crystal structure of TiCdReP2.

Output
The calculation puts the energy relative to the elements at 2.026 eV/atom. The value obtained for the spin magnetization is 1.8 Bohr magnetons per cell.

Lattice parameters (Å, degrees): 4.741 4.741 4.990 90.00 90.00 90.00
Space group P4/mmm (No. 123)
Inequivalent atoms, fractional coordinates:
Ti 0.000 0.000 0.000 x1
Cd 0.000 0.000 0.500 x1
Re 0.500 0.500 0.000 x1
P 0.000 0.500 0.500 x2

---

No. 3
Density functional theory data (PBE) for an optimized crystal structure of BaIn2Te.

Output
For the final energy, the calculation gives -12.1 eV/cell. The value obtained for the spin magnetization is 0.0 Bohr magnetons per cell.

Lattice parameters (Å, degrees): 4.283 4.283 7.387 90.00 90.00 90.00
Space group P4/mmm (No. 123)
Inequivalent atoms, fractional coordinates:
Ba 0.000 0.000 0.000 x1
In 0.500 0.500 0.298 x2
Te 0.000 0.000 0.500 x1

---

No. 4
Density functional theory data (PBE) for an optimized crystal structure of Sc2TlRuO8.

Output
For the final energy, the calculation gives -170.6 eV/cell. The value obtained for the spin magnetization is 2.0 Bohr magnetons per cell.

Lattice parameters (Å, degrees): 6.638 6.863 6.686 90.00 90.00 90.00
Space group Cmmm (No. 65)
Inequivalent atoms, fractional coordinates:
Sc 0.000 0.000 0.247 x4
Tl 0.000 0.500 0.500 x2
Ru 0.000 0.500 0.000 x2
O 0.000 0.306 0.203 x8
O 0.186 0.000 0.500 x4
O 0.210 0.000 0.000 x4

---

No. 5
Density functional theory data (PBE) for an optimized crystal structure of TbNi4P2.

Output
The calculation puts the energy relative to the elements at -0.827 eV/atom. The value obtained for the spin magnetization is 0.0 Bohr magnetons per cell.

Lattice parameters (Å, degrees): 7.113 7.113 3.609 90.00 90.00 90.00
Space group P4_2/mnm (No. 136)
Inequivalent atoms, fractional coordinates:
Tb 0.000 0.000 0.000 x2
Ni 0.085 0.337 0.500 x8
P 0.221 0.779 0.500 x4

---

No. 6
Density functional theory data (PBE) for an optimized crystal structure of Ca2BiAu2.

Output
The calculation puts the energy relative to the elements at -0.515 eV/atom. The value obtained for the spin magnetization is 0.0 Bohr magnetons per cell.

Lattice parameters (Å, degrees): 5.078 5.078 11.118 90.00 90.00 90.00
Space group I4/mmm (No. 139)
Inequivalent atoms, fractional coordinates:
Ca 0.000 0.500 0.250 x4
Bi 0.000 0.000 0.000 x2
Au 0.000 0.000 0.381 x4

---

no.,N(E_F) (states/eV/atom)
1,0.681
2,1.215
3,0.749
4,0.362
5,0.703
6,0.548